Compound: VIF
Source: Alexandria via LeMat-Bulk
Functional: PBE+U
Structure: optimized geometry

Properties
* space-group type: C2/m (12)
* calculated density: 4.4 g cm⁻³
* energy above the lowest structure with this stoichiometry: 0.5727 eV/atom

a b c (Å): 6.8260 3.4887 6.6888
angles (deg): 74.89 100.61 104.80
Closest atoms and distances in Å follow each position.
Sites, in units of the cell vectors:
F1 0.2919 0.5024 0.2873  2 V 2.04
F2 0.7081 0.4976 0.7127  2 V 2.04
V1 0.4506 0.0570 0.3367  2 F 2.04, 1 V 2.13
V2 0.5494 0.9430 0.6633  2 F 2.04, 1 V 2.13
I1 0.2541 0.2388 0.7765  2 V 2.78, 1 F 3.08
I2 0.7459 0.7612 0.2235  2 V 2.78, 1 F 3.08